Entry 1:
# PmNd2As3 (PBE, relaxed)
# VASP energy	-0.45742	Ry per atom
# ΔE_f	-1.5177	eV/atom
# volume	27.36	Å³/atom
data_PmNd2As3
_cell_length_a 4.2663
_cell_length_b 6.0226
_cell_length_c 12.7802
_cell_angle_alpha 90.00
_cell_angle_beta 90.00
_cell_angle_gamma 90.00
_symmetry_space_group_name_H-M 'I m m m'
_symmetry_Int_Tables_number 71
_symmetry_space_group_name_Hall '-I 2 2'
loop_
_atom_site_label
_atom_site_type_symbol
_atom_site_fract_x
_atom_site_fract_y
_atom_site_fract_z
Pm1 Pm 0.0000 0.0000 0.0000
Nd1 Nd 0.0000 0.0000 0.3332
As1 As 0.0000 0.5000 0.0000
As2 As 0.0000 0.5000 0.3344

---

Entry 2:
# Pm3NdAs4 (PBE, relaxed)
# VASP energy	-0.45761	Ry per atom
# E above lowest polymorph	3	meV/atom
# ΔE_f	-1.5238	eV/atom
# volume	27.09	Å³/atom
data_Pm3NdAs4
_cell_length_a 8.4934
_cell_length_b 12.0088
_cell_length_c 4.2499
_cell_angle_alpha 90.00
_cell_angle_beta 90.00
_cell_angle_gamma 90.00
_symmetry_space_group_name_H-M 'C m m m'
_symmetry_Int_Tables_number 65
_symmetry_space_group_name_Hall '-C 2 2'
loop_
_atom_site_label
_atom_site_type_symbol
_atom_site_fract_x
_atom_site_fract_y
_atom_site_fract_z
Pm1 Pm 0.0000 0.0000 0.0000
Pm2 Pm 0.2500 0.2500 0.5000
Nd1 Nd 0.0000 0.5000 0.0000
As1 As 0.0000 0.2494 0.0000
As2 As 0.2486 0.0000 0.5000

---

Entry 3:
# Pm3NdAs4 (PBE, relaxed)
# VASP energy	-0.45782	Ry per atom
# E above lowest polymorph	0	meV/atom
# ΔE_f	-1.5268	eV/atom
# volume	27.05	Å³/atom
data_Pm3NdAs4
_cell_length_a 6.0039
_cell_length_b 6.0039
_cell_length_c 6.0039
_cell_angle_alpha 90.00
_cell_angle_beta 90.00
_cell_angle_gamma 90.00
_symmetry_space_group_name_H-M 'P m -3 m'
_symmetry_Int_Tables_number 221
_symmetry_space_group_name_Hall '-P 4 2 3'
loop_
_atom_site_label
_atom_site_type_symbol
_atom_site_fract_x
_atom_site_fract_y
_atom_site_fract_z
Pm1 Pm 0.0000 0.0000 0.5000
Nd1 Nd 0.5000 0.5000 0.5000
As1 As 0.0000 0.0000 0.0000
As2 As 0.0000 0.5000 0.5000

---

Entry 4:
# PmNdAs2 (PBE, relaxed)
# VASP energy	-0.45747	Ry per atom
# E above lowest polymorph	2	meV/atom
# ΔE_f	-1.5199	eV/atom
# volume	27.27	Å³/atom
data_PmNdAs2
_cell_length_a 4.2586
_cell_length_b 4.2586
_cell_length_c 20.8341
_cell_angle_alpha 90.00
_cell_angle_beta 90.00
_cell_angle_gamma 120.00
_symmetry_space_group_name_H-M 'R -3 m'
_symmetry_Int_Tables_number 166
_symmetry_space_group_name_Hall '-R 3 2"'
loop_
_atom_site_label
_atom_site_type_symbol
_atom_site_fract_x
_atom_site_fract_y
_atom_site_fract_z
Pm1 Pm 0.0000 0.0000 0.0000
Nd1 Nd 0.0000 0.0000 0.5000
As1 As 0.0000 0.0000 0.2507

---

Entry 5:
# PmNd5As6 (PBE, relaxed)
# VASP energy	-0.45738	Ry per atom
# ΔE_f	-1.5157	eV/atom
# volume	27.48	Å³/atom
data_PmNd5As6
_cell_length_a 7.3925
_cell_length_b 12.8011
_cell_length_c 7.3911
_cell_angle_alpha 90.00
_cell_angle_beta 109.48
_cell_angle_gamma 90.00
_symmetry_space_group_name_H-M 'C 1 2/m 1'
_symmetry_Int_Tables_number 12
loop_
_symmetry_equiv_pos_as_xyz
'x,y,z'
'-x,-y,-z'
'-x,y,-z'
'x,-y,z'
'x+1/2,y+1/2,z'
'-x+1/2,-y+1/2,-z'
'-x+1/2,y+1/2,-z'
'x+1/2,-y+1/2,z'
loop_
_atom_site_label
_atom_site_type_symbol
_atom_site_fract_x
_atom_site_fract_y
_atom_site_fract_z
Pm1 Pm 0.0000 0.0000 0.0000
Nd1 Nd 0.0000 0.1668 0.5000
Nd2 Nd 0.0000 0.3334 0.0000
Nd3 Nd 0.0000 0.5000 0.5000
As1 As 0.2491 0.0000 0.7506
As2 As 0.2492 0.1661 0.2492

---

Entry 6:
# Pm3NdAs3 (PBE, relaxed)
# VASP energy	-0.43999	Ry per atom
# ΔE_f	-1.2766	eV/atom
# volume	25.96	Å³/atom
data_Pm3NdAs3
_cell_length_a 8.9916
_cell_length_b 8.9916
_cell_length_c 8.9916
_cell_angle_alpha 90.00
_cell_angle_beta 90.00
_cell_angle_gamma 90.00
_symmetry_space_group_name_H-M 'P 21 3'
_symmetry_Int_Tables_number 198
_symmetry_space_group_name_Hall 'P 2ac 2ab 3'
loop_
_atom_site_label
_atom_site_type_symbol
_atom_site_fract_x
_atom_site_fract_y
_atom_site_fract_z
Pm1 Pm 0.0664 0.4336 0.5664
Pm2 Pm 0.1838 0.1838 0.1838
Pm3 Pm 0.1842 0.8158 0.3158
Nd1 Nd 0.0663 0.5663 0.9337
As1 As 0.9997 0.2490 0.8758

---

Entry 7:
# Pm2NdAs3 (PBE, relaxed)
# VASP energy	-0.45756	Ry per atom
# ΔE_f	-1.5225	eV/atom
# volume	27.14	Å³/atom
data_Pm2NdAs3
_cell_length_a 4.2545
_cell_length_b 6.0066
_cell_length_c 12.7448
_cell_angle_alpha 90.00
_cell_angle_beta 90.00
_cell_angle_gamma 90.00
_symmetry_space_group_name_H-M 'I m m m'
_symmetry_Int_Tables_number 71
_symmetry_space_group_name_Hall '-I 2 2'
loop_
_atom_site_label
_atom_site_type_symbol
_atom_site_fract_x
_atom_site_fract_y
_atom_site_fract_z
Pm1 Pm 0.0000 0.0000 0.1665
Nd1 Nd 0.0000 0.0000 0.5000
As1 As 0.0000 0.5000 0.1677
As2 As 0.0000 0.5000 0.5000

---

Entry 8:
# PmNdAs2 (PBE, relaxed)
# VASP energy	-0.45763	Ry per atom
# E above lowest polymorph	0	meV/atom
# ΔE_f	-1.5220	eV/atom
# volume	27.23	Å³/atom
data_PmNdAs2
_cell_length_a 6.0155
_cell_length_b 6.0155
_cell_length_c 12.0416
_cell_angle_alpha 90.00
_cell_angle_beta 90.00
_cell_angle_gamma 90.00
_symmetry_space_group_name_H-M 'I 41/a m d'
_symmetry_Int_Tables_number 141
loop_
_symmetry_equiv_pos_as_xyz
'x,y,z'
'-x,-y,-z'
'-y+1/4,x+3/4,z+1/4'
'y+1/4,-x+3/4,-z+1/4'
'-x+1/2,-y,z+1/2'
'x+1/2,y,-z+1/2'
'y+1/4,-x+1/4,z+3/4'
'-y+1/4,x+1/4,-z+3/4'
'x,-y,-z'
'-x,y,z'
'-y+1/4,-x+1/4,-z+3/4'
'y+1/4,x+1/4,z+3/4'
'-x+1/2,y,-z+1/2'
'x+1/2,-y,z+1/2'
'y+1/4,x+3/4,-z+1/4'
'-y+1/4,-x+3/4,z+1/4'
'x+1/2,y+1/2,z+1/2'
'-x+1/2,-y+1/2,-z+1/2'
'-y+3/4,x+1/4,z+3/4'
'y+3/4,-x+1/4,-z+3/4'
'-x,-y+1/2,z'
'x,y+1/2,-z'
'y+3/4,-x+3/4,z+1/4'
'-y+3/4,x+3/4,-z+1/4'
'x+1/2,-y+1/2,-z+1/2'
'-x+1/2,y+1/2,z+1/2'
'-y+3/4,-x+3/4,-z+1/4'
'y+3/4,x+3/4,z+1/4'
'-x,y+1/2,-z'
'x,-y+1/2,z'
'y+3/4,x+1/4,-z+3/4'
'-y+3/4,-x+1/4,z+3/4'
loop_
_atom_site_label
_atom_site_type_symbol
_atom_site_fract_x
_atom_site_fract_y
_atom_site_fract_z
Pm1 Pm 0.0000 0.2500 0.3750
Nd1 Nd 0.0000 0.2500 0.8750
As1 As 0.0000 0.2500 0.1258

---

Entry 9:
# Pm5Nd3As8 (PBE, relaxed)
# VASP energy	-0.45752	Ry per atom
# ΔE_f	-1.5216	eV/atom
# volume	27.17	Å³/atom
data_Pm5Nd3As8
_cell_length_a 8.5039
_cell_length_b 8.5039
_cell_length_c 20.8218
_cell_angle_alpha 90.00
_cell_angle_beta 90.00
_cell_angle_gamma 120.00
_symmetry_space_group_name_H-M 'R -3 m'
_symmetry_Int_Tables_number 166
_symmetry_space_group_name_Hall '-R 3 2"'
loop_
_atom_site_label
_atom_site_type_symbol
_atom_site_fract_x
_atom_site_fract_y
_atom_site_fract_z
Pm1 Pm 0.0000 0.0000 0.0000
Pm2 Pm 0.0000 0.0000 0.5000
Pm3 Pm 0.0000 0.5000 0.0000
Nd1 Nd 0.0000 0.5000 0.5000
As1 As 0.0000 0.0000 0.2507
As2 As 0.0009 0.5004 0.2504

---

Entry 10:
# Pm2Pr3NdAs6 (PBE, relaxed)
# VASP energy	-0.45710	Ry per atom
# ΔE_f	-1.5105	eV/atom
# volume	27.70	Å³/atom
data_Pm2Pr3NdAs6
_cell_length_a 18.6474
_cell_length_b 4.2813
_cell_length_c 8.5571
_cell_angle_alpha 90.00
_cell_angle_beta 103.29
_cell_angle_gamma 90.00
_symmetry_space_group_name_H-M 'C 1 2/m 1'
_symmetry_Int_Tables_number 12
loop_
_symmetry_equiv_pos_as_xyz
'x,y,z'
'-x,-y,-z'
'-x,y,-z'
'x,-y,z'
'x+1/2,y+1/2,z'
'-x+1/2,-y+1/2,-z'
'-x+1/2,y+1/2,-z'
'x+1/2,-y+1/2,z'
loop_
_atom_site_label
_atom_site_type_symbol
_atom_site_fract_x
_atom_site_fract_y
_atom_site_fract_z
Pm1 Pm 0.1668 0.0000 0.3336
Pr1 Pr 0.0000 0.5000 0.5000
Pr2 Pr 0.1666 0.0000 0.8331
Nd1 Nd 0.0000 0.5000 0.0000
As1 As 0.0010 0.0000 0.2491
As2 As 0.1663 0.5000 0.0858
As3 As 0.1676 0.5000 0.5810

---

Entry 11:
# PmPr2NdAs4 (PBE, relaxed)
# VASP energy	-0.45713	Ry per atom
# ΔE_f	-1.5101	eV/atom
# volume	27.77	Å³/atom
data_PmPr2NdAs4
_cell_length_a 7.4136
_cell_length_b 4.2854
_cell_length_c 7.4150
_cell_angle_alpha 90.00
_cell_angle_beta 109.46
_cell_angle_gamma 90.00
_symmetry_space_group_name_H-M 'P 1 2/m 1'
_symmetry_Int_Tables_number 10
loop_
_symmetry_equiv_pos_as_xyz
'x,y,z'
'-x,-y,-z'
'-x,y,-z'
'x,-y,z'
loop_
_atom_site_label
_atom_site_type_symbol
_atom_site_fract_x
_atom_site_fract_y
_atom_site_fract_z
Pm1 Pm 0.0000 0.0000 0.0000
Pr1 Pr 0.5000 0.0000 0.5000
Pr2 Pr 0.5000 0.5000 0.0000
Nd1 Nd 0.0000 0.5000 0.5000
As1 As 0.2472 0.0000 0.7500
As2 As 0.2466 0.5000 0.2480

---

Entry 12:
# Pm3PrNd2As6 (PBE, relaxed)
# VASP energy	-0.45734	Ry per atom
# ΔE_f	-1.5171	eV/atom
# volume	27.36	Å³/atom
data_Pm3PrNd2As6
_cell_length_a 18.5703
_cell_length_b 4.2637
_cell_length_c 8.5214
_cell_angle_alpha 90.00
_cell_angle_beta 103.26
_cell_angle_gamma 90.00
_symmetry_space_group_name_H-M 'C 1 2/m 1'
_symmetry_Int_Tables_number 12
loop_
_symmetry_equiv_pos_as_xyz
'x,y,z'
'-x,-y,-z'
'-x,y,-z'
'x,-y,z'
'x+1/2,y+1/2,z'
'-x+1/2,-y+1/2,-z'
'-x+1/2,y+1/2,-z'
'x+1/2,-y+1/2,z'
loop_
_atom_site_label
_atom_site_type_symbol
_atom_site_fract_x
_atom_site_fract_y
_atom_site_fract_z
Pm1 Pm 0.0000 0.0000 0.0000
Pm2 Pm 0.1666 0.5000 0.3330
Pr1 Pr 0.0000 0.0000 0.5000
Nd1 Nd 0.1668 0.5000 0.8335
As1 As 0.0004 0.5000 0.2474
As2 As 0.1662 0.0000 0.0843
As3 As 0.1677 0.0000 0.5824

---

Q: The lowest volume belongs to which entry?
A: Pm3NdAs3

---

Q: volume of number 2 (Pm3NdAs4)?
A: 27.09 Å³/atom

---

Q: The lowest ΔE_f belongs to which entry?
A: number 3